## BeInSe4 (GGA-PBEsol)

Data for a relaxed BeInSe4 crystal.

Cell and atoms, written as POSCAR:
```
BeInSe4
1.0
0.000 4.037 4.037
4.037 0.000 4.037
4.037 4.037 0.000
Be In Se
1 1 4
direct
0.000 0.000 0.000
0.750 0.750 0.750
0.374 0.374 0.374
0.374 0.374 0.879
0.374 0.879 0.374
0.879 0.374 0.374
```

Values from the calculation:
Formation energy from raw total energies: 640 meV/atom
Symmetry: F-43m, No. 216
Density of states at the Fermi level: 4.481 states/eV/cell
DFT total energy: -3.091 eV/atom

***

## BeIn2Se (GGA-PBEsol)

Data for a relaxed BeIn2Se crystal.

Cell and atoms, written as POSCAR:
```
BeIn2Se
1.0
4.035 0.000 0.000
0.000 4.035 0.000
0.000 0.000 10.439
Be In Se
2 4 2
direct
0.000 0.000 0.000
0.500 0.500 0.500
0.000 0.500 0.250
0.000 0.500 0.750
0.500 0.000 0.250
0.500 0.000 0.750
0.000 0.000 0.500
0.500 0.500 0.000
```

Values from the calculation:
Formation energy from raw total energies: 360 meV/atom
Symmetry: I4/mmm, No. 139
Density of states at the Fermi level: 3.530 states/eV/cell
DFT total energy: -3.094 eV/atom

***

## BeInSe2 (GGA-PBEsol)

Data for a relaxed BeInSe2 crystal.

Cell and atoms, written as POSCAR:
```
BeInSe2
1.0
4.201 0.000 0.000
0.000 3.753 0.000
-1.189 0.000 6.065
Be In Se
1 1 2
direct
0.000 0.000 0.000
0.736 0.500 0.403
0.223 0.000 0.348
0.813 0.500 0.855
```

Values from the calculation:
Formation energy from raw total energies: -412 meV/atom
Symmetry: Pm, No. 6
Density of states at the Fermi level: 0.782 states/eV/cell
DFT total energy: -4.083 eV/atom